(1)
A plane-wave DFT calculation with PBE-GGA was carried out for LaHo2Ir after structural relaxation.

As for the energy: -6.132 eV per atom. The value obtained for the formation energy is -396.1 meV per atom. The value obtained for the energy relative to the lowest polymorph listed for this composition is 162 meV per atom.

a b c (Å): 4.0710 4.0710 26.1081
angles (deg): 90.00 90.00 120.00
Space group R3m (No. 160, hexagonal axes)
One atom of each set of equivalent atoms:
La 0.0000 0.0000 0.0000 x3
Ho 0.0000 0.0000 0.5512 x3
Ho 0.0000 0.0000 0.7764 x3
Ir 0.0000 0.0000 0.1638 x3

***

(2)
A plane-wave DFT calculation with PBE-GGA was carried out for Be2PSe after structural relaxation.

As for the energy: -4.381 eV per atom. The calculation puts the uncorrected formation energy at -0.29 eV/atom. The value obtained for the energy relative to the lowest polymorph listed for this composition is 46 meV per atom.

a b c (Å): 6.389 3.657 6.017
angles (deg): 90.00 112.97 90.00
Space group Cm (No. 8)
One atom of each set of equivalent atoms:
Be 0.000 0.000 0.000 x2
Be 0.066 0.500 0.317 x2
P 0.313 0.000 0.946 x2
Se 0.282 0.000 0.447 x2

***

(3)
A plane-wave DFT calculation with PBE-GGA was carried out for KReTe2 after structural relaxation.

As for the energy: -4.247 eV per atom. The calculation puts the uncorrected formation energy at 0.71 eV/atom. The value obtained for the energy relative to the lowest polymorph listed for this composition is 753 meV per atom.

a b c (Å): 3.3202 3.3202 32.3109
angles (deg): 90.00 90.00 120.00
Space group R-3m (No. 166, hexagonal axes)
One atom of each set of equivalent atoms:
K 0.0000 0.0000 0.0000 x3
Re 0.0000 0.0000 0.5000 x3
Te 0.0000 0.0000 0.4208 x6

***

(4)
A plane-wave DFT calculation with PBE-GGA was carried out for LiPm2PPb after structural relaxation.

As for the energy: -4.944 eV per atom. The value obtained for the formation energy is -837.7 meV per atom.

a b c (Å): 7.716 4.181 8.525
angles (deg): 90.00 106.85 90.00
Space group P2_1/m (No. 11)
One atom of each set of equivalent atoms:
Li 0.047 0.250 0.155 x2
Pm 0.265 0.750 0.521 x2
Pm 0.370 0.750 0.110 x2
P 0.352 0.250 0.327 x2
Pb 0.180 0.250 0.796 x2

***

(5)
A plane-wave DFT calculation with PBE-GGA was carried out for SrMoW2 after structural relaxation.

As for the energy: -8.381 eV per atom. The value obtained for the formation energy is 1224.2 meV per atom. The value obtained for the energy relative to the lowest polymorph listed for this composition is 487 meV per atom.

a b c (Å): 5.550 10.098 2.714
angles (deg): 90.00 90.00 90.00
Space group Cmmm (No. 65)
One atom of each set of equivalent atoms:
Sr 0.000 0.000 0.000 x2
Mo 0.000 0.500 0.000 x2
W 0.250 0.250 0.500 x4

***

Question: Look up the energy of the fifth one.
Answer: -8.381 eV per atom